1.
# PBE LaTaNi2, relaxed
# Energy of formation in meV per atom: 175
# E_tot in eV per cell: -27.6
# Total magnetization in μB/atom: 0.000
# Crystal system: orthorhombic
# ΔE to the lowest computed polymorph in meV/atom: 345
data_LaTaNi2
_cell_length_a 5.835
_cell_length_b 5.835
_cell_length_c 5.835
_cell_angle_alpha 149.29
_cell_angle_beta 136.04
_cell_angle_gamma 54.58
_symmetry_space_group_name_H-M 'P 1'
_symmetry_Int_Tables_number 1
loop_
_symmetry_equiv_pos_as_xyz
'x,y,z'
loop_
_atom_site_label
_atom_site_fract_x
_atom_site_fract_y
_atom_site_fract_z
La1 0.000 0.000 0.000
Ta1 0.283 0.783 0.500
Ni1 0.537 0.537 0.000
Ni2 0.730 0.230 0.500

***

2.
# PBE LaTa2Ni, relaxed
# Energy of formation in meV per atom: 570
# E_tot in eV per cell: -32.1
# Total magnetization in μB/atom: 0.000
# Crystal system: cubic
# ΔE to the lowest computed polymorph in meV/atom: 449
data_LaTa2Ni
_cell_length_a 4.677
_cell_length_b 4.677
_cell_length_c 4.677
_cell_angle_alpha 60.00
_cell_angle_beta 60.00
_cell_angle_gamma 60.00
_symmetry_space_group_name_H-M 'P 1'
_symmetry_Int_Tables_number 1
loop_
_symmetry_equiv_pos_as_xyz
'x,y,z'
loop_
_atom_site_label
_atom_site_fract_x
_atom_site_fract_y
_atom_site_fract_z
La1 0.000 0.000 0.000
Ta1 0.250 0.250 0.250
Ta2 0.750 0.750 0.750
Ni1 0.500 0.500 0.500

***

no.,density of states at the Fermi level (states/eV per atom)
1,0.90
2,1.75